(1)
A plane-wave DFT calculation with PBE was carried out for a geometry-optimized ZnAg4Hg structure.

abc: 7.8473 7.8473 7.8473
angles: 90.00 90.00 90.00
Space group F-43m (No. 216)
Symmetry-distinct sites (fractional):
Zn1 0.0000 0.0000 0.0000
Ag1 0.1252 0.1252 0.6252
Hg1 0.2500 0.2500 0.2500

**Formation energy from the elements**: 169 meV per atom
**E above lowest polymorph**: 120 meV/atom
**Final energy**: -1.99 eV per atom

***

(2)
A plane-wave DFT calculation with PBE was carried out for a geometry-optimized ZnAgHg structure.

abc: 6.3316 6.3316 6.3316
angles: 90.00 90.00 90.00
Space group F-43m (No. 216)
Symmetry-distinct sites (fractional):
Zn1 0.0000 0.0000 0.0000
Ag1 0.2500 0.2500 0.7500
Hg1 0.2500 0.2500 0.2500

**Formation energy from the elements**: 133 meV per atom
**E above lowest polymorph**: 89 meV/atom
**Final energy**: -1.34 eV per atom

***

(3)
A plane-wave DFT calculation with PBE was carried out for a geometry-optimized ZnAg2Hg structure.

abc: 7.6158 7.6158 5.5488
angles: 90.00 90.00 90.00
Space group I-42d (No. 122)
Symmetry-distinct sites (fractional):
Zn1 0.0000 0.0000 0.0000
Ag1 0.2227 0.2500 0.1250
Hg1 0.0000 0.0000 0.5000

**Formation energy from the elements**: 181 meV per atom
**E above lowest polymorph**: 149 meV/atom
**Final energy**: -1.64 eV per atom

***

(4)
A plane-wave DFT calculation with PBE was carried out for a geometry-optimized Zn2Ag9Hg structure.

abc: 4.2307 4.2307 11.8610
angles: 90.00 90.00 90.00
Space group P4/mmm (No. 123)
Symmetry-distinct sites (fractional):
Zn1 0.0000 0.0000 0.1616
Ag1 0.0000 0.5000 0.0000
Ag2 0.0000 0.5000 0.3232
Ag3 0.5000 0.5000 0.1617
Ag4 0.5000 0.5000 0.5000
Hg1 0.0000 0.0000 0.5000

**Formation energy from the elements**: 12 meV per atom
**Final energy**: -2.36 eV per atom